# 1
# Cs3LiAg2Cl9 (PBE-GGA, relaxed)
# Space-group type: P-3m1
# Total energy in eV per atom: -2.977
data_Cs3LiAg2Cl9
_cell_length_a 7.324
_cell_length_b 7.324
_cell_length_c 8.990
_cell_angle_alpha 90.00
_cell_angle_beta 90.00
_cell_angle_gamma 120.00
_space_group_name_H-M_alt 'P 1'
_space_group_IT_number 1
_space_group_name_Hall 'P 1'
loop_
_atom_site_label
_atom_site_type_symbol
_atom_site_fract_x
_atom_site_fract_y
_atom_site_fract_z
Cs1 Cs 0.000 0.000 0.000
Cs2 Cs 0.333 0.667 0.657
Cs3 Cs 0.667 0.333 0.343
Li1 Li 0.000 0.000 0.500
Ag1 Ag 0.333 0.667 0.166
Ag2 Ag 0.667 0.333 0.834
Cl1 Cl 0.000 0.500 0.000
Cl2 Cl 0.167 0.334 0.325
Cl3 Cl 0.167 0.833 0.325
Cl4 Cl 0.334 0.167 0.675
Cl5 Cl 0.500 0.000 0.000
Cl6 Cl 0.500 0.500 0.000
Cl7 Cl 0.666 0.833 0.325
Cl8 Cl 0.833 0.167 0.675
Cl9 Cl 0.833 0.666 0.675

=====

# 2
# CsLi2AgCl (PBE-GGA, relaxed)
# Space-group type: P4/mmm
# Total energy in eV per atom: -2.248
data_CsLi2AgCl
_cell_length_a 4.926
_cell_length_b 4.926
_cell_length_c 8.340
_cell_angle_alpha 90.00
_cell_angle_beta 90.00
_cell_angle_gamma 90.00
_space_group_name_H-M_alt 'P 1'
_space_group_IT_number 1
_space_group_name_Hall 'P 1'
loop_
_atom_site_label
_atom_site_type_symbol
_atom_site_fract_x
_atom_site_fract_y
_atom_site_fract_z
Cs1 Cs 0.000 0.000 0.000
Li1 Li 0.000 0.500 0.500
Li2 Li 0.500 0.000 0.500
Ag1 Ag 0.500 0.500 0.000
Cl1 Cl 0.500 0.500 0.500

=====

# 3
# Cs2LiAg2Cl6 (PBE-GGA, relaxed)
# Space-group type: C2/m
# Total energy in eV per atom: -3.039
data_Cs2LiAg2Cl6
_cell_length_a 7.867
_cell_length_b 7.867
_cell_length_c 7.702
_cell_angle_alpha 114.16
_cell_angle_beta 114.16
_cell_angle_gamma 54.06
_space_group_name_H-M_alt 'P 1'
_space_group_IT_number 1
_space_group_name_Hall 'P 1'
loop_
_atom_site_label
_atom_site_type_symbol
_atom_site_fract_x
_atom_site_fract_y
_atom_site_fract_z
Cs1 Cs 0.227 0.227 0.197
Cs2 Cs 0.773 0.773 0.803
Li1 Li 0.000 0.000 0.500
Ag1 Ag 0.428 0.428 0.763
Ag2 Ag 0.572 0.572 0.237
Cl1 Cl 0.193 0.729 0.228
Cl2 Cl 0.239 0.239 0.675
Cl3 Cl 0.271 0.807 0.772
Cl4 Cl 0.729 0.193 0.228
Cl5 Cl 0.761 0.761 0.325
Cl6 Cl 0.807 0.271 0.772

=====

# 4
# Cs3LiAg2Cl6 (PBE-GGA, relaxed)
# Space-group type: P-3m1
# Total energy in eV per atom: -3.133
data_Cs3LiAg2Cl6
_cell_length_a 7.823
_cell_length_b 7.823
_cell_length_c 8.841
_cell_angle_alpha 90.00
_cell_angle_beta 90.00
_cell_angle_gamma 120.00
_space_group_name_H-M_alt 'P 1'
_space_group_IT_number 1
_space_group_name_Hall 'P 1'
loop_
_atom_site_label
_atom_site_type_symbol
_atom_site_fract_x
_atom_site_fract_y
_atom_site_fract_z
Cs1 Cs 0.000 0.000 0.000
Cs2 Cs 0.333 0.667 0.657
Cs3 Cs 0.667 0.333 0.343
Li1 Li 0.000 0.000 0.500
Ag1 Ag 0.333 0.667 0.264
Ag2 Ag 0.667 0.333 0.736
Cl1 Cl 0.153 0.306 0.309
Cl2 Cl 0.153 0.847 0.309
Cl3 Cl 0.306 0.153 0.691
Cl4 Cl 0.694 0.847 0.309
Cl5 Cl 0.847 0.153 0.691
Cl6 Cl 0.847 0.694 0.691

=====

# 5
# CsLiAg2Cl4 (PBE-GGA, relaxed)
# Space-group type: I-42m
# Total energy in eV per atom: -3.141
data_CsLiAg2Cl4
_cell_length_a 6.771
_cell_length_b 6.771
_cell_length_c 6.771
_cell_angle_alpha 118.06
_cell_angle_beta 118.06
_cell_angle_gamma 93.39
_space_group_name_H-M_alt 'P 1'
_space_group_IT_number 1
_space_group_name_Hall 'P 1'
loop_
_atom_site_label
_atom_site_type_symbol
_atom_site_fract_x
_atom_site_fract_y
_atom_site_fract_z
Cs1 Cs 0.000 0.000 0.000
Li1 Li 0.500 0.500 0.000
Ag1 Ag 0.250 0.750 0.500
Ag2 Ag 0.750 0.250 0.500
Cl1 Cl 0.150 0.531 0.000
Cl2 Cl 0.469 0.469 0.619
Cl3 Cl 0.531 0.150 0.000
Cl4 Cl 0.850 0.850 0.381

=====

# 6
# Cs3MgAg3Cl8 (PBE-GGA, relaxed)
# Space-group type: C2/m
# Total energy in eV per atom: -3.115
data_Cs3MgAg3Cl8
_cell_length_a 8.626
_cell_length_b 8.626
_cell_length_c 9.122
_cell_angle_alpha 117.91
_cell_angle_beta 117.91
_cell_angle_gamma 55.95
_space_group_name_H-M_alt 'P 1'
_space_group_IT_number 1
_space_group_name_Hall 'P 1'
loop_
_atom_site_label
_atom_site_type_symbol
_atom_site_fract_x
_atom_site_fract_y
_atom_site_fract_z
Cs1 Cs 0.000 0.000 0.000
Cs2 Cs 0.000 0.500 0.000
Cs3 Cs 0.500 0.000 0.000
Mg1 Mg 0.000 0.000 0.500
Ag1 Ag 0.000 0.500 0.500
Ag2 Ag 0.500 0.000 0.500
Ag3 Ag 0.500 0.500 0.500
Cl1 Cl 0.201 0.201 0.667
Cl2 Cl 0.228 0.763 0.687
Cl3 Cl 0.237 0.772 0.313
Cl4 Cl 0.261 0.261 0.320
Cl5 Cl 0.739 0.739 0.680
Cl6 Cl 0.763 0.228 0.687
Cl7 Cl 0.772 0.237 0.313
Cl8 Cl 0.799 0.799 0.333

=====

# 7
# Cs3Mg2AgCl9 (PBE-GGA, relaxed)
# Space-group type: P-3m1
# Total energy in eV per atom: -3.282
data_Cs3Mg2AgCl9
_cell_length_a 7.304
_cell_length_b 7.304
_cell_length_c 9.023
_cell_angle_alpha 90.00
_cell_angle_beta 90.00
_cell_angle_gamma 120.00
_space_group_name_H-M_alt 'P 1'
_space_group_IT_number 1
_space_group_name_Hall 'P 1'
loop_
_atom_site_label
_atom_site_type_symbol
_atom_site_fract_x
_atom_site_fract_y
_atom_site_fract_z
Cs1 Cs 0.000 0.000 0.000
Cs2 Cs 0.333 0.667 0.663
Cs3 Cs 0.667 0.333 0.337
Mg1 Mg 0.333 0.667 0.159
Mg2 Mg 0.667 0.333 0.841
Ag1 Ag 0.000 0.000 0.500
Cl1 Cl 0.000 0.500 0.000
Cl2 Cl 0.172 0.344 0.330
Cl3 Cl 0.172 0.828 0.330
Cl4 Cl 0.344 0.172 0.670
Cl5 Cl 0.500 0.000 0.000
Cl6 Cl 0.500 0.500 0.000
Cl7 Cl 0.656 0.828 0.330
Cl8 Cl 0.828 0.172 0.670
Cl9 Cl 0.828 0.656 0.670

=====

# 8
# Cs3Mg2AgCl8 (PBE-GGA, relaxed)
# Space-group type: P-3m1
# Total energy in eV per atom: -3.387
data_Cs3Mg2AgCl8
_cell_length_a 7.492
_cell_length_b 7.492
_cell_length_c 9.721
_cell_angle_alpha 90.00
_cell_angle_beta 90.00
_cell_angle_gamma 120.00
_space_group_name_H-M_alt 'P 1'
_space_group_IT_number 1
_space_group_name_Hall 'P 1'
loop_
_atom_site_label
_atom_site_type_symbol
_atom_site_fract_x
_atom_site_fract_y
_atom_site_fract_z
Cs1 Cs 0.000 0.000 0.000
Cs2 Cs 0.333 0.667 0.635
Cs3 Cs 0.667 0.333 0.365
Mg1 Mg 0.333 0.667 0.218
Mg2 Mg 0.667 0.333 0.782
Ag1 Ag 0.000 0.000 0.500
Cl1 Cl 0.167 0.334 0.318
Cl2 Cl 0.167 0.833 0.318
Cl3 Cl 0.333 0.667 0.982
Cl4 Cl 0.334 0.167 0.682
Cl5 Cl 0.666 0.833 0.318
Cl6 Cl 0.667 0.333 0.018
Cl7 Cl 0.833 0.167 0.682
Cl8 Cl 0.833 0.666 0.682

=====

# 9
# Cs3Mn2AgCl9 (PBE-GGA, relaxed)
# Space-group type: P-3m1
# Total energy in eV per atom: -4.073
data_Cs3Mn2AgCl9
_cell_length_a 7.286
_cell_length_b 7.286
_cell_length_c 8.971
_cell_angle_alpha 90.00
_cell_angle_beta 90.00
_cell_angle_gamma 120.00
_space_group_name_H-M_alt 'P 1'
_space_group_IT_number 1
_space_group_name_Hall 'P 1'
loop_
_atom_site_label
_atom_site_type_symbol
_atom_site_fract_x
_atom_site_fract_y
_atom_site_fract_z
Cs1 Cs 0.000 0.000 0.000
Cs2 Cs 0.333 0.667 0.661
Cs3 Cs 0.667 0.333 0.339
Mn1 Mn 0.333 0.667 0.167
Mn2 Mn 0.667 0.333 0.833
Ag1 Ag 0.000 0.000 0.500
Cl1 Cl 0.000 0.500 0.000
Cl2 Cl 0.174 0.349 0.318
Cl3 Cl 0.174 0.826 0.318
Cl4 Cl 0.349 0.174 0.682
Cl5 Cl 0.500 0.000 0.000
Cl6 Cl 0.500 0.500 0.000
Cl7 Cl 0.651 0.826 0.318
Cl8 Cl 0.826 0.174 0.682
Cl9 Cl 0.826 0.651 0.682

=====

# 10
# Cs3MnAg2Cl8 (PBE-GGA, relaxed)
# Space-group type: P-3m1
# Total energy in eV per atom: -3.563
data_Cs3MnAg2Cl8
_cell_length_a 7.276
_cell_length_b 7.276
_cell_length_c 9.988
_cell_angle_alpha 90.00
_cell_angle_beta 90.00
_cell_angle_gamma 120.00
_space_group_name_H-M_alt 'P 1'
_space_group_IT_number 1
_space_group_name_Hall 'P 1'
loop_
_atom_site_label
_atom_site_type_symbol
_atom_site_fract_x
_atom_site_fract_y
_atom_site_fract_z
Cs1 Cs 0.000 0.000 0.000
Cs2 Cs 0.333 0.667 0.641
Cs3 Cs 0.667 0.333 0.359
Mn1 Mn 0.000 0.000 0.500
Ag1 Ag 0.333 0.667 0.215
Ag2 Ag 0.667 0.333 0.785
Cl1 Cl 0.156 0.311 0.356
Cl2 Cl 0.156 0.844 0.356
Cl3 Cl 0.311 0.156 0.644
Cl4 Cl 0.333 0.667 0.973
Cl5 Cl 0.667 0.333 0.027
Cl6 Cl 0.689 0.844 0.356
Cl7 Cl 0.844 0.156 0.644
Cl8 Cl 0.844 0.689 0.644

=====

# 11
# Cs2MnAgCl5 (PBE-GGA, relaxed)
# Space-group type: Cmc2_1
# Total energy in eV per atom: -3.898
data_Cs2MnAgCl5
_cell_length_a 10.094
_cell_length_b 10.094
_cell_length_c 13.391
_cell_angle_alpha 90.00
_cell_angle_beta 90.00
_cell_angle_gamma 154.25
_space_group_name_H-M_alt 'P 1'
_space_group_IT_number 1
_space_group_name_Hall 'P 1'
loop_
_atom_site_label
_atom_site_type_symbol
_atom_site_fract_x
_atom_site_fract_y
_atom_site_fract_z
Cs1 Cs 0.119 0.881 0.500
Cs2 Cs 0.121 0.879 0.873
Cs3 Cs 0.879 0.121 0.373
Cs4 Cs 0.881 0.119 0.000
Mn1 Mn 0.406 0.594 0.652
Mn2 Mn 0.594 0.406 0.152
Ag1 Ag 0.221 0.779 0.211
Ag2 Ag 0.779 0.221 0.711
Cl1 Cl 0.055 0.945 0.213
Cl2 Cl 0.304 0.696 0.550
Cl3 Cl 0.323 0.677 0.806
Cl4 Cl 0.347 0.653 0.188
Cl5 Cl 0.482 0.518 0.509
Cl6 Cl 0.518 0.482 0.009
Cl7 Cl 0.653 0.347 0.688
Cl8 Cl 0.677 0.323 0.306
Cl9 Cl 0.696 0.304 0.050
Cl10 Cl 0.945 0.055 0.713

=====

# 12
# Cs3Mn2AgCl8 (PBE-GGA, relaxed)
# Space-group type: P-3m1
# Total energy in eV per atom: -4.171
data_Cs3Mn2AgCl8
_cell_length_a 7.480
_cell_length_b 7.480
_cell_length_c 9.723
_cell_angle_alpha 90.00
_cell_angle_beta 90.00
_cell_angle_gamma 120.00
_space_group_name_H-M_alt 'P 1'
_space_group_IT_number 1
_space_group_name_Hall 'P 1'
loop_
_atom_site_label
_atom_site_type_symbol
_atom_site_fract_x
_atom_site_fract_y
_atom_site_fract_z
Cs1 Cs 0.000 0.000 0.000
Cs2 Cs 0.333 0.667 0.635
Cs3 Cs 0.667 0.333 0.365
Mn1 Mn 0.333 0.667 0.218
Mn2 Mn 0.667 0.333 0.782
Ag1 Ag 0.000 0.000 0.500
Cl1 Cl 0.167 0.333 0.319
Cl2 Cl 0.167 0.833 0.319
Cl3 Cl 0.333 0.167 0.681
Cl4 Cl 0.333 0.667 0.982
Cl5 Cl 0.667 0.333 0.018
Cl6 Cl 0.667 0.833 0.319
Cl7 Cl 0.833 0.167 0.681
Cl8 Cl 0.833 0.667 0.681

=====

# 13
# Cs3MnAg2Cl6 (PBE-GGA, relaxed)
# Space-group type: P-3m1
# Total energy in eV per atom: -3.516
data_Cs3MnAg2Cl6
_cell_length_a 7.548
_cell_length_b 7.548
_cell_length_c 8.628
_cell_angle_alpha 90.00
_cell_angle_beta 90.00
_cell_angle_gamma 120.00
_space_group_name_H-M_alt 'P 1'
_space_group_IT_number 1
_space_group_name_Hall 'P 1'
loop_
_atom_site_label
_atom_site_type_symbol
_atom_site_fract_x
_atom_site_fract_y
_atom_site_fract_z
Cs1 Cs 0.000 0.000 0.000
Cs2 Cs 0.333 0.667 0.644
Cs3 Cs 0.667 0.333 0.356
Mn1 Mn 0.000 0.000 0.500
Ag1 Ag 0.333 0.667 0.172
Ag2 Ag 0.667 0.333 0.828
Cl1 Cl 0.157 0.314 0.324
Cl2 Cl 0.157 0.843 0.324
Cl3 Cl 0.314 0.157 0.676
Cl4 Cl 0.686 0.843 0.324
Cl5 Cl 0.843 0.157 0.676
Cl6 Cl 0.843 0.686 0.676

=====

# 14
# Cs2MnAg2Cl6 (PBE-GGA, relaxed)
# Space-group type: C2/m
# Total energy in eV per atom: -3.695
data_Cs2MnAg2Cl6
_cell_length_a 7.738
_cell_length_b 7.738
_cell_length_c 7.624
_cell_angle_alpha 115.66
_cell_angle_beta 115.66
_cell_angle_gamma 59.34
_space_group_name_H-M_alt 'P 1'
_space_group_IT_number 1
_space_group_name_Hall 'P 1'
loop_
_atom_site_label
_atom_site_type_symbol
_atom_site_fract_x
_atom_site_fract_y
_atom_site_fract_z
Cs1 Cs 0.229 0.229 0.197
Cs2 Cs 0.771 0.771 0.803
Mn1 Mn 0.000 0.000 0.500
Ag1 Ag 0.429 0.429 0.774
Ag2 Ag 0.571 0.571 0.226
Cl1 Cl 0.198 0.743 0.237
Cl2 Cl 0.220 0.220 0.663
Cl3 Cl 0.257 0.802 0.763
Cl4 Cl 0.743 0.198 0.237
Cl5 Cl 0.780 0.780 0.337
Cl6 Cl 0.802 0.257 0.763

=====

# 15
# CsMnAgCl4 (PBE-GGA, relaxed)
# Space-group type: P2_1/m
# Total energy in eV per atom: -4.074
data_CsMnAgCl4
_cell_length_a 6.284
_cell_length_b 7.472
_cell_length_c 9.574
_cell_angle_alpha 90.00
_cell_angle_beta 106.53
_cell_angle_gamma 90.00
_space_group_name_H-M_alt 'P 1'
_space_group_IT_number 1
_space_group_name_Hall 'P 1'
loop_
_atom_site_label
_atom_site_type_symbol
_atom_site_fract_x
_atom_site_fract_y
_atom_site_fract_z
Cs1 Cs 0.248 0.250 0.402
Cs2 Cs 0.752 0.750 0.598
Mn1 Mn 0.135 0.250 0.809
Mn2 Mn 0.865 0.750 0.191
Ag1 Ag 0.378 0.750 0.007
Ag2 Ag 0.622 0.250 0.993
Cl1 Cl 0.046 0.250 0.028
Cl2 Cl 0.165 0.750 0.402
Cl3 Cl 0.373 0.006 0.793
Cl4 Cl 0.373 0.494 0.793
Cl5 Cl 0.627 0.506 0.207
Cl6 Cl 0.627 0.994 0.207
Cl7 Cl 0.835 0.250 0.598
Cl8 Cl 0.954 0.750 0.972

=====

# 16
# CsAgMoCl6 (PBE-GGA, relaxed)
# Space-group type: P312
# Total energy in eV per atom: -3.883
data_CsAgMoCl6
_cell_length_a 6.923
_cell_length_b 6.923
_cell_length_c 7.513
_cell_angle_alpha 90.00
_cell_angle_beta 90.00
_cell_angle_gamma 120.00
_space_group_name_H-M_alt 'P 1'
_space_group_IT_number 1
_space_group_name_Hall 'P 1'
loop_
_atom_site_label
_atom_site_type_symbol
_atom_site_fract_x
_atom_site_fract_y
_atom_site_fract_z
Cs1 Cs 0.000 0.000 0.000
Ag1 Ag 0.333 0.667 0.500
Mo1 Mo 0.667 0.333 0.500
Cl1 Cl 0.393 0.040 0.684
Cl2 Cl 0.393 0.352 0.316
Cl3 Cl 0.648 0.040 0.316
Cl4 Cl 0.648 0.607 0.684
Cl5 Cl 0.960 0.352 0.684
Cl6 Cl 0.960 0.607 0.316

=====

# 17
# CsAg2MoCl8 (PBE-GGA, relaxed)
# Space-group type: P-1
# Total energy in eV per atom: -3.566
data_CsAg2MoCl8
_cell_length_a 6.297
_cell_length_b 7.377
_cell_length_c 8.998
_cell_angle_alpha 73.67
_cell_angle_beta 83.02
_cell_angle_gamma 87.93
_space_group_name_H-M_alt 'P 1'
_space_group_IT_number 1
_space_group_name_Hall 'P 1'
loop_
_atom_site_label
_atom_site_type_symbol
_atom_site_fract_x
_atom_site_fract_y
_atom_site_fract_z
Cs1 Cs 0.000 0.000 0.000
Ag1 Ag 0.494 0.524 0.810
Ag2 Ag 0.506 0.476 0.190
Mo1 Mo 0.000 0.500 0.500
Cl1 Cl 0.080 0.506 0.751
Cl2 Cl 0.174 0.789 0.389
Cl3 Cl 0.324 0.336 0.465
Cl4 Cl 0.487 0.229 0.038
Cl5 Cl 0.513 0.771 0.962
Cl6 Cl 0.676 0.664 0.535
Cl7 Cl 0.826 0.211 0.611
Cl8 Cl 0.920 0.494 0.249

=====

# 18
# Cs2AgNCl6 (PBE-GGA, relaxed)
# Space-group type: I4/mmm
# Total energy in eV per atom: -2.876
data_Cs2AgNCl6
_cell_length_a 7.101
_cell_length_b 7.101
_cell_length_c 7.101
_cell_angle_alpha 119.79
_cell_angle_beta 119.79
_cell_angle_gamma 90.36
_space_group_name_H-M_alt 'P 1'
_space_group_IT_number 1
_space_group_name_Hall 'P 1'
loop_
_atom_site_label
_atom_site_type_symbol
_atom_site_fract_x
_atom_site_fract_y
_atom_site_fract_z
Cs1 Cs 0.250 0.750 0.500
Cs2 Cs 0.750 0.250 0.500
Ag1 Ag 0.000 0.000 0.000
N1 N 0.500 0.500 0.000
Cl1 Cl 0.264 0.264 0.000
Cl2 Cl 0.268 0.268 0.537
Cl3 Cl 0.268 0.732 0.000
Cl4 Cl 0.732 0.268 0.000
Cl5 Cl 0.732 0.732 0.463
Cl6 Cl 0.736 0.736 0.000

=====

# 19
# CsNaAgCl3 (PBE-GGA, relaxed)
# Space-group type: P2_1/m
# Total energy in eV per atom: -3.153
data_CsNaAgCl3
_cell_length_a 8.957
_cell_length_b 4.353
_cell_length_c 10.207
_cell_angle_alpha 90.00
_cell_angle_beta 108.16
_cell_angle_gamma 90.00
_space_group_name_H-M_alt 'P 1'
_space_group_IT_number 1
_space_group_name_Hall 'P 1'
loop_
_atom_site_label
_atom_site_type_symbol
_atom_site_fract_x
_atom_site_fract_y
_atom_site_fract_z
Cs1 Cs 0.216 0.250 0.234
Cs2 Cs 0.784 0.750 0.766
Na1 Na 0.345 0.750 0.876
Na2 Na 0.655 0.250 0.124
Ag1 Ag 0.122 0.250 0.614
Ag2 Ag 0.878 0.750 0.386
Cl1 Cl 0.115 0.250 0.862
Cl2 Cl 0.212 0.750 0.523
Cl3 Cl 0.472 0.750 0.159
Cl4 Cl 0.528 0.250 0.841
Cl5 Cl 0.788 0.250 0.477
Cl6 Cl 0.885 0.750 0.138

=====

# 20
# Cs3NaAg2Cl9 (PBE-GGA, relaxed)
# Space-group type: P-3m1
# Total energy in eV per atom: -2.942
data_Cs3NaAg2Cl9
_cell_length_a 7.436
_cell_length_b 7.436
_cell_length_c 9.172
_cell_angle_alpha 90.00
_cell_angle_beta 90.00
_cell_angle_gamma 120.00
_space_group_name_H-M_alt 'P 1'
_space_group_IT_number 1
_space_group_name_Hall 'P 1'
loop_
_atom_site_label
_atom_site_type_symbol
_atom_site_fract_x
_atom_site_fract_y
_atom_site_fract_z
Cs1 Cs 0.000 0.000 0.000
Cs2 Cs 0.333 0.667 0.656
Cs3 Cs 0.667 0.333 0.344
Na1 Na 0.000 0.000 0.500
Ag1 Ag 0.333 0.667 0.159
Ag2 Ag 0.667 0.333 0.841
Cl1 Cl 0.000 0.500 0.000
Cl2 Cl 0.171 0.343 0.316
Cl3 Cl 0.171 0.829 0.316
Cl4 Cl 0.343 0.171 0.684
Cl5 Cl 0.500 0.000 0.000
Cl6 Cl 0.500 0.500 0.000
Cl7 Cl 0.657 0.829 0.316
Cl8 Cl 0.829 0.171 0.684
Cl9 Cl 0.829 0.657 0.684